# 1
Rb2ZrPdO4 | PBE | relaxed

Lattice parameters (Å, degrees): 12.8925 11.4308 7.1666 84.46 61.94 33.59
Closest atoms and distances in Å follow each position.
Fractional coordinates of all 16 atoms:
Rb  0.0649  0.0649  0.6851  2 O 2.83
Rb  0.3149  0.3149  0.9351  2 O 2.83
Rb  0.6851  0.6851  0.0649  2 O 2.83
Rb  0.9351  0.9351  0.3149  2 O 2.83
Zr  0.1250  0.1250  0.1250  4 O 2.01
Zr  0.8750  0.8750  0.8750  4 O 2.01
Pd  0.3750  0.3750  0.3750  4 O 2.12
Pd  0.6250  0.6250  0.6250  4 O 2.12
O  0.0233  0.2906  0.4301  1 Zr 2.01, 1 Pd 2.12
O  0.2440  0.5699  0.7094  1 Zr 2.01, 1 Pd 2.12
O  0.2906  0.0233  0.7560  1 Zr 2.01, 1 Pd 2.12
O  0.4301  0.7560  0.0233  1 Zr 2.01, 1 Pd 2.12
O  0.5699  0.2440  0.9767  1 Zr 2.01, 1 Pd 2.12
O  0.7094  0.9767  0.2440  1 Zr 2.01, 1 Pd 2.12
O  0.7560  0.4301  0.2906  1 Zr 2.01, 1 Pd 2.12
O  0.9767  0.7094  0.5699  1 Zr 2.01, 1 Pd 2.12

Summary:
Density = 3.50 g cm⁻³
Formation energy from raw total energies = -1.53 eV/atom

# 2
RePd3O6 | PBE | relaxed

Lattice parameters (Å, degrees): 5.0911 5.0885 10.4263 90.00 113.68 90.00
Closest atoms and distances in Å follow each position.
Fractional coordinates of all 20 atoms:
Re  0.0000  0.0000  0.0000  6 O 1.93-1.96
Re  0.0000  0.5000  0.5000  6 O 1.93-1.96
Pd  0.2983  0.1022  0.7931  4 O 2.04-2.22
Pd  0.2983  0.3978  0.2931  4 O 2.04-2.22
Pd  0.5000  0.0000  0.5000  4 O 2.04-2.14
Pd  0.5000  0.5000  0.0000  4 O 2.04-2.14
Pd  0.7017  0.6022  0.7069  4 O 2.04-2.22
Pd  0.7017  0.8978  0.2069  4 O 2.04-2.22
O  0.0937  0.1939  0.4180  1 Re 1.93, 1 Pd 2.14
O  0.0937  0.3061  0.9180  1 Re 1.93, 1 Pd 2.14
O  0.2488  0.6763  0.4238  1 Re 1.96, 2 Pd 2.04-2.05
O  0.2488  0.8237  0.9238  1 Re 1.96, 2 Pd 2.04-2.05
O  0.3136  0.0806  0.1772  1 Re 1.94, 2 Pd 2.04-2.09
O  0.3136  0.4194  0.6772  1 Re 1.94, 2 Pd 2.04-2.09
O  0.6864  0.5806  0.3228  1 Re 1.94, 2 Pd 2.04-2.09
O  0.6864  0.9194  0.8228  1 Re 1.94, 2 Pd 2.04-2.09
O  0.7512  0.1763  0.0762  1 Re 1.96, 2 Pd 2.04-2.05
O  0.7512  0.3237  0.5762  1 Re 1.96, 2 Pd 2.04-2.05
O  0.9063  0.6939  0.0820  1 Re 1.93, 1 Pd 2.14
O  0.9063  0.8061  0.5820  1 Re 1.93, 1 Pd 2.14

Summary:
Density = 8.08 g cm⁻³
Formation energy from raw total energies = -0.62 eV/atom

# 3
RePd2O | PBE | relaxed

Lattice parameters (Å, degrees): 6.7525 6.7525 4.8574 90.00 90.00 90.00
Closest atoms and distances in Å follow each position.
Fractional coordinates of all 16 atoms:
Re  0.0000  0.0000  0.0000  2 O 2.43, 4 Pd 2.70
Re  0.0000  0.5000  0.2500  2 O 2.43, 4 Pd 2.70
Re  0.5000  0.0000  0.7500  2 O 2.43, 4 Pd 2.70
Re  0.5000  0.5000  0.5000  2 O 2.43, 4 Pd 2.70
Pd  0.2017  0.2500  0.6250  2 O 2.25, 2 Pd 2.51
Pd  0.2500  0.7017  0.8750  2 O 2.25, 2 Pd 2.51
Pd  0.2500  0.7983  0.3750  2 O 2.25, 2 Pd 2.51
Pd  0.2983  0.2500  0.1250  2 O 2.25, 2 Pd 2.51
Pd  0.7017  0.7500  0.1250  2 O 2.25, 2 Pd 2.51
Pd  0.7500  0.2017  0.3750  2 O 2.25, 2 Pd 2.51
Pd  0.7500  0.2983  0.8750  2 O 2.25, 2 Pd 2.51
Pd  0.7983  0.7500  0.6250  2 O 2.25, 2 Pd 2.51
O  0.0000  0.0000  0.5000  4 Pd 2.25, 2 Re 2.43
O  0.0000  0.5000  0.7500  4 Pd 2.25, 2 Re 2.43
O  0.5000  0.0000  0.2500  4 Pd 2.25, 2 Re 2.43
O  0.5000  0.5000  0.0000  4 Pd 2.25, 2 Re 2.43

Summary:
Density = 12.45 g cm⁻³
Formation energy from raw total energies = 0.60 eV/atom

# 4
RePd3O | PBE | relaxed

Lattice parameters (Å, degrees): 4.7752 4.7752 4.7752 90.00 90.00 90.00
Closest atoms and distances in Å follow each position.
Fractional coordinates of all 5 atoms:
Re  0.0000  0.0000  0.0000  6 Pd 2.39
Pd  0.0000  0.0000  0.5000  2 Re 2.39
Pd  0.0000  0.5000  0.0000  2 Re 2.39
Pd  0.5000  0.0000  0.0000  2 Re 2.39
O  0.5000  0.5000  0.5000  12 Pd 3.38

Summary:
Density = 7.95 g cm⁻³
Formation energy from raw total energies = 1.70 eV/atom
Energy relative to the lowest polymorph listed for this composition = 1.0324 eV/atom

# 5
RePd3O | PBE | relaxed

Lattice parameters (Å, degrees): 4.2013 4.2013 4.2013 90.00 90.00 90.00
Closest atoms and distances in Å follow each position.
Fractional coordinates of all 5 atoms:
Re  0.0000  0.0000  0.0000  12 Pd 2.97
Pd  0.0000  0.5000  0.5000  2 O 2.10
Pd  0.5000  0.0000  0.5000  2 O 2.10
Pd  0.5000  0.5000  0.0000  2 O 2.10
O  0.5000  0.5000  0.5000  6 Pd 2.10

Summary:
Density = 11.68 g cm⁻³
Formation energy from raw total energies = 0.67 eV/atom
Energy relative to the lowest polymorph listed for this composition = 0.0000 eV/atom

# 6
Re2PdO | PBE | relaxed

Lattice parameters (Å, degrees): 4.4039 4.4039 13.3243 90.00 90.00 90.00
Closest atoms and distances in Å follow each position.
Fractional coordinates of all 16 atoms:
Re  0.1332  0.2500  0.1250  2 O 2.08
Re  0.2500  0.6332  0.3750  2 O 2.08
Re  0.2500  0.8668  0.8750  2 O 2.08
Re  0.3668  0.2500  0.6250  2 O 2.08
Re  0.6332  0.7500  0.6250  2 O 2.08
Re  0.7500  0.1332  0.8750  2 O 2.08
Re  0.7500  0.3668  0.3750  2 O 2.08
Re  0.8668  0.7500  0.1250  2 O 2.08
Pd  0.0000  0.0000  0.5000  4 Re 2.57
Pd  0.0000  0.5000  0.7500  4 Re 2.57
Pd  0.5000  0.0000  0.2500  4 Re 2.57
Pd  0.5000  0.5000  0.0000  4 Re 2.57
O  0.0000  0.0000  0.0000  4 Re 2.08
O  0.0000  0.5000  0.2500  4 Re 2.08
O  0.5000  0.0000  0.7500  4 Re 2.08
O  0.5000  0.5000  0.5000  4 Re 2.08

Summary:
Density = 12.72 g cm⁻³
Formation energy from raw total energies = 0.62 eV/atom

# 7
RePdO2 | PBE | relaxed

Lattice parameters (Å, degrees): 5.5575 5.5575 5.5575 90.00 90.00 90.00
Closest atoms and distances in Å follow each position.
Fractional coordinates of all 16 atoms:
Re  0.0000  0.0000  0.0000  8 O 2.41
Re  0.0000  0.5000  0.5000  8 O 2.41
Re  0.5000  0.0000  0.5000  8 O 2.41
Re  0.5000  0.5000  0.0000  8 O 2.41
Pd  0.0000  0.0000  0.5000  8 O 2.41
Pd  0.0000  0.5000  0.0000  8 O 2.41
Pd  0.5000  0.0000  0.0000  8 O 2.41
Pd  0.5000  0.5000  0.5000  8 O 2.41
O  0.2500  0.2500  0.2500  4 Re 2.41, 4 Pd 2.41
O  0.2500  0.2500  0.7500  4 Re 2.41, 4 Pd 2.41
O  0.2500  0.7500  0.2500  4 Re 2.41, 4 Pd 2.41
O  0.2500  0.7500  0.7500  4 Re 2.41, 4 Pd 2.41
O  0.7500  0.2500  0.2500  4 Re 2.41, 4 Pd 2.41
O  0.7500  0.2500  0.7500  4 Re 2.41, 4 Pd 2.41
O  0.7500  0.7500  0.2500  4 Re 2.41, 4 Pd 2.41
O  0.7500  0.7500  0.7500  4 Re 2.41, 4 Pd 2.41

Summary:
Density = 12.56 g cm⁻³
Formation energy from raw total energies = 0.40 eV/atom
Energy relative to the lowest polymorph listed for this composition = 1.1088 eV/atom

# 8
RePdO2 | PBE | relaxed

Lattice parameters (Å, degrees): 2.7692 2.7692 20.6454 90.00 90.00 120.00
Closest atoms and distances in Å follow each position.
Fractional coordinates of all 12 atoms:
Re  0.0000  0.0000  0.0000  6 O 2.10
Re  0.3333  0.6667  0.6667  6 O 2.10
Re  0.6667  0.3333  0.3333  6 O 2.10
Pd  0.0000  0.0000  0.5000  2 O 2.08
Pd  0.3333  0.6667  0.1667  2 O 2.08
Pd  0.6667  0.3333  0.8333  2 O 2.08
O  0.0000  0.0000  0.3992  1 Pd 2.08, 3 Re 2.10
O  0.0000  0.0000  0.6008  1 Pd 2.08, 3 Re 2.10
O  0.3333  0.6667  0.0659  1 Pd 2.08, 3 Re 2.10
O  0.3333  0.6667  0.2674  1 Pd 2.08, 3 Re 2.10
O  0.6667  0.3333  0.7326  1 Pd 2.08, 3 Re 2.10
O  0.6667  0.3333  0.9341  1 Pd 2.08, 3 Re 2.10

Summary:
Density = 11.79 g cm⁻³
Formation energy from raw total energies = -0.71 eV/atom
Energy relative to the lowest polymorph listed for this composition = 0.0000 eV/atom

# 9
RePdO2 | PBE | relaxed

Lattice parameters (Å, degrees): 4.0660 4.0660 12.3239 90.00 90.00 90.00
Closest atoms and distances in Å follow each position.
Fractional coordinates of all 16 atoms:
Re  0.0000  0.0000  0.0000  4 O 1.98
Re  0.0000  0.5000  0.2500  4 O 1.98
Re  0.5000  0.0000  0.7500  4 O 1.98
Re  0.5000  0.5000  0.5000  4 O 1.98
Pd  0.0000  0.0000  0.5000  4 O 2.27
Pd  0.0000  0.5000  0.7500  4 O 2.27
Pd  0.5000  0.0000  0.2500  4 O 2.27
Pd  0.5000  0.5000  0.0000  4 O 2.27
O  0.1741  0.2500  0.1250  2 Re 1.98
O  0.2500  0.6741  0.3750  2 Re 1.98
O  0.2500  0.8259  0.8750  2 Re 1.98
O  0.3259  0.2500  0.6250  2 Re 1.98
O  0.6741  0.7500  0.6250  2 Re 1.98
O  0.7500  0.1741  0.8750  2 Re 1.98
O  0.7500  0.3259  0.3750  2 Re 1.98
O  0.8259  0.7500  0.1250  2 Re 1.98

Summary:
Density = 10.58 g cm⁻³
Formation energy from raw total energies = -0.27 eV/atom
Energy relative to the lowest polymorph listed for this composition = 0.4398 eV/atom

# 10
Sc2RePdO | PBE | relaxed

Lattice parameters (Å, degrees): 4.3028 4.3028 4.1785 90.00 90.00 90.00
Closest atoms and distances in Å follow each position.
Fractional coordinates of all 5 atoms:
Sc  0.0000  0.5000  0.0000  2 O 2.15
Sc  0.5000  0.0000  0.0000  2 O 2.15
Re  0.0000  0.0000  0.5000  8 Sc 3.00, 4 Pd 3.04
Pd  0.5000  0.5000  0.5000  2 O 2.09
O  0.5000  0.5000  0.0000  2 Pd 2.09, 4 Sc 2.15

Summary:
Density = 8.55 g cm⁻³
Formation energy from raw total energies = -0.77 eV/atom

# 11
ScRe2PdO | PBE | relaxed

Lattice parameters (Å, degrees): 4.6573 4.6573 4.6506 90.00 90.00 90.00
Closest atoms and distances in Å follow each position.
Fractional coordinates of all 5 atoms:
Sc  0.0000  0.0000  0.0000  2 Pd 2.33, 4 Re 2.33
Re  0.0000  0.5000  0.0000  2 Sc 2.33
Re  0.5000  0.0000  0.0000  2 Sc 2.33
Pd  0.0000  0.0000  0.5000  2 Sc 2.33
O  0.5000  0.5000  0.5000  8 Re 3.29, 4 Pd 3.29

Summary:
Density = 8.89 g cm⁻³
Formation energy from raw total energies = 2.65 eV/atom

# 12
SrRe2PdO | PBE | relaxed

Lattice parameters (Å, degrees): 5.5866 5.5866 4.1901 90.00 90.00 90.00
Closest atoms and distances in Å follow each position.
Fractional coordinates of all 5 atoms:
Sr  0.0000  0.0000  0.0000  2 O 2.10
Re  0.0000  0.5000  0.0000  2 Sr 2.79
Re  0.5000  0.0000  0.0000  2 Sr 2.79
Pd  0.5000  0.5000  0.5000  8 Re 3.49
O  0.0000  0.0000  0.5000  2 Sr 2.10

Summary:
Density = 7.40 g cm⁻³
Formation energy from raw total energies = 2.57 eV/atom

# 13
TaRe2PdO | PBE | relaxed

Lattice parameters (Å, degrees): 4.8755 4.8755 3.6276 90.00 90.00 90.00
Closest atoms and distances in Å follow each position.
Fractional coordinates of all 5 atoms:
Ta  0.0000  0.0000  0.0000  8 Re 3.04
Re  0.0000  0.5000  0.5000  2 Pd 2.44
Re  0.5000  0.0000  0.5000  2 Pd 2.44
Pd  0.5000  0.5000  0.5000  2 O 1.81
O  0.5000  0.5000  0.0000  2 Pd 1.81

Summary:
Density = 13.01 g cm⁻³
Formation energy from raw total energies = 1.63 eV/atom

# 14
Ta2RePdO | PBE | relaxed

Lattice parameters (Å, degrees): 4.8310 4.8310 4.7018 90.00 90.00 90.00
Closest atoms and distances in Å follow each position.
Fractional coordinates of all 5 atoms:
Ta  0.0000  0.5000  0.0000  2 Pd 2.42
Ta  0.5000  0.0000  0.0000  2 Pd 2.42
Re  0.0000  0.0000  0.5000  2 Pd 2.35
Pd  0.0000  0.0000  0.0000  2 Re 2.35, 4 Ta 2.42
O  0.5000  0.5000  0.5000  8 Ta 3.37, 4 Re 3.42

Summary:
Density = 10.15 g cm⁻³
Formation energy from raw total energies = 2.23 eV/atom

# 15
Re2TePdO | PBE | relaxed

Lattice parameters (Å, degrees): 5.0201 5.0201 3.9287 90.00 90.00 90.00
Closest atoms and distances in Å follow each position.
Fractional coordinates of all 5 atoms:
Re  0.0000  0.5000  0.0000  2 Te 2.51
Re  0.5000  0.0000  0.0000  2 Te 2.51
Te  0.0000  0.0000  0.0000  2 O 1.96
Pd  0.5000  0.5000  0.5000  8 Re 3.19, 4 O 3.55
O  0.0000  0.0000  0.5000  2 Te 1.96

Summary:
Density = 10.44 g cm⁻³
Formation energy from raw total energies = 1.75 eV/atom

# 16
Tl2RePdO | PBE | relaxed

Lattice parameters (Å, degrees): 4.8121 4.8121 3.9804 90.00 90.00 90.00
Closest atoms and distances in Å follow each position.
Fractional coordinates of all 5 atoms:
Tl  0.0000  0.5000  0.0000  2 O 2.41
Tl  0.5000  0.0000  0.0000  2 O 2.41
Re  0.0000  0.0000  0.5000  8 Tl 3.12, 4 Pd 3.40
Pd  0.5000  0.5000  0.5000  2 O 1.99
O  0.5000  0.5000  0.0000  2 Pd 1.99

Summary:
Density = 12.92 g cm⁻³
Formation energy from raw total energies = 0.78 eV/atom